## AlCoReOs2 (GGA-PBE)

Data for a geometry-optimized AlCoReOs2 structure.

The structure in POSCAR format:
```
AlCoReOs2
1.0
4.717 0.000 0.000
0.000 4.397 0.000
0.000 0.000 4.717
Re Os Co Al
1 2 1 1
Direct
0.000 0.000 0.000
0.000 0.000 0.500
0.500 0.000 0.000
0.000 0.500 0.000
0.500 0.500 0.500
```

Properties
Calculated volume ... 19.6 A^3/atom
DOS at the Fermi energy ... 5.9 states/eV/f.u.
E_form ... 1.8232 eV per atom

## AlCoSiOs2 (GGA-PBE)

Data for a geometry-optimized AlCoSiOs2 structure.

The structure in POSCAR format:
```
AlCoSiOs2
1.0
-0.318 3.738 -2.229
-0.556 -2.251 -3.697
-4.382 0.014 0.650
Si Al Co Os
1 1 1 2
Direct
0.000 0.000 0.000
0.000 0.000 0.500
0.500 0.500 0.500
0.000 0.500 0.000
0.500 0.000 0.000
```

Properties
E_form (uncorrected) ... 598 kJ/mol of formula units
Calculated volume ... 16.9 A^3/atom
DOS at the Fermi energy ... 9.3 states/eV/f.u.

## Al2CoSiOs (GGA-PBE)

Data for a geometry-optimized Al2CoSiOs structure.

The structure in POSCAR format:
```
Al2CoSiOs
1.0
-1.882 4.073 1.369
-2.504 -2.182 3.048
3.417 0.512 3.174
Al Co Os Si
2 1 1 1
Direct
0.500 0.000 0.000
0.000 0.000 0.500
0.000 0.500 0.000
0.000 0.000 0.000
0.500 0.500 0.500
```

Properties
E_form (uncorrected) ... 415 kJ/mol of formula units
Calculated volume ... 19.8 A^3/atom
DOS at the Fermi energy ... 2.2 states/eV/f.u.